Below is a relaxed CdAg2IO4 crystal, with properties calculated at the PBE level.

SG: C2, No. 5
Total moment: 0.00 μB per atom
E_tot: -30.447 eV/f.u.

Unit cell a=6.5876 b=6.8930 c=6.6932 alpha=138.44 beta=137.46 gamma=61.64
Closest atoms and distances in Å follow each position.
Fractional coordinates of all 8 atoms:
Ag: 0.4866 0.9870 0.9735  4 O 2.20-2.23
Cd: 0.9914 0.4909 0.9823  4 O 2.23-2.25
Ag: 0.2211 0.2212 0.4422  4 O 2.30-2.55
I: 0.7345 0.7345 0.4690  4 O 2.09-2.15
O: 0.3735 0.8665 0.4808  1 I 2.15, 2 Ag 2.23-2.30, 1 Cd 2.25
O: 0.6749 0.0631 0.4727  1 I 2.09, 1 Ag 2.21, 1 Cd 2.23
O: 0.7975 0.4093 0.4724  1 I 2.09, 1 Ag 2.20, 1 Cd 2.23
O: 0.1076 0.6147 0.4812  1 I 2.15, 2 Ag 2.23-2.30, 1 Cd 2.25